1.
First-principles (PBE) data for crystalline ErTh5P6 at its relaxed geometry, as listed in the Alexandria database.

```
12
Lattice="7.046 0.173 1.071 1.732 5.973 3.482 0.119 0.062 7.129" Properties=species:S:1:pos:R:3 pbc="T T T"
P 6.103 2.617 7.026
P 6.613 4.640 3.436
P 2.795 3.590 4.656
Th 1.234 4.020 7.079
Th 5.006 5.081 5.820
P 2.166 1.506 1.118
P 5.494 0.639 3.429
Th 4.389 3.073 2.277
Er 0.000 0.000 0.000
Th 0.618 2.014 3.531
Th 3.892 1.126 5.862
P 3.404 5.568 8.253
```

Summary:
The value obtained for the formation energy is -1553 meV/atom. The calculated density is 8.495 g/cm3. The value obtained for the total magnetic moment is 0.0 μB/cell.

=====

2.
First-principles (PBE) data for crystalline ThInHgPb at its relaxed geometry, as listed in the Alexandria database.

```
4
Lattice="4.684 0.000 0.000 0.000 4.728 0.000 0.000 0.000 4.906" Properties=species:S:1:pos:R:3 pbc="T T T"
Th 2.342 2.364 0.000
Pb 0.000 0.000 0.000
In 0.000 2.364 2.453
Hg 2.342 0.000 2.453
```

Summary:
The value obtained for the formation energy is -290 meV/atom. Its energy above the most stable polymorph in this dataset is 0 meV/atom. The calculated density is 11.536 g/cm3. The value obtained for the total magnetic moment is 0.0 μB/cell.

=====

3.
First-principles (PBE) data for crystalline BaMo2Se at its relaxed geometry, as listed in the Alexandria database.

```
4
Lattice="-0.687 -9.858 -0.754 1.068 -9.675 1.864 -2.076 -9.470 2.054" Properties=species:S:1:pos:R:3 pbc="T T T"
Se -0.424 -7.251 0.791
Ba -1.271 -21.752 2.374
Mo -0.881 -15.072 1.645
Mo -1.661 -28.432 3.103
```

Summary:
As for the formation energy (no corrections): 0.859 eV/atom. The calculated density is 8.060 g/cm3. The value obtained for the total magnetic moment is 0.0 μB/cell.

=====

4.
First-principles (PBE) data for crystalline NpAl3Ga4 at its relaxed geometry, as listed in the Alexandria database.

```
8
Lattice="-1.464 1.744 -3.433 -0.195 -3.829 -1.862 -7.169 2.408 6.752" Properties=species:S:1:pos:R:3 pbc="T T T"
Al -0.098 -1.914 -0.931
Ga -4.081 0.680 2.086
Ga -6.053 1.678 3.434
Al -2.044 -0.286 0.727
Np -0.732 0.872 -1.716
Ga -2.776 -1.356 -1.976
Al -6.784 0.608 0.731
Ga -4.747 -0.358 -0.628
```

Summary:
The value obtained for the formation energy is 2 meV/atom. Its energy above the most stable polymorph in this dataset is 50 meV/atom. The calculated density is 6.491 g/cm3. The value obtained for the total magnetic moment is 4.0 μB/cell.

=====

5.
First-principles (PBE) data for crystalline BaCa9Ac4 at its relaxed geometry, as listed in the Alexandria database.

```
28
Lattice="-8.579 7.867 -4.751 5.398 0.125 -9.540 -7.828 -7.467 1.771" Properties=species:S:1:pos:R:3 pbc="T T T"
Ca -1.411 2.311 -9.476
Ca -9.598 -1.787 -3.043
Ac -6.112 5.115 -5.445
Ca -5.924 -2.095 -1.088
Ca -7.048 2.574 -7.961
Ca -6.808 -4.765 -3.914
Ca -4.201 5.290 -8.606
Ca -3.961 -2.049 -4.558
Ca -5.085 2.619 -11.431
Ca -3.477 2.263 -5.825
Ca -4.407 -0.546 -8.799
Ca -11.418 1.825 -8.846
Ca 2.475 -1.252 -7.324
Ac -4.897 -4.591 -7.075
Ac -7.749 0.168 -10.680
Ac -8.535 -4.675 -0.646
Ca -7.532 -1.739 -6.694
Ac 0.000 0.000 0.000
Ca -13.484 1.777 -5.195
Ac -2.474 5.200 -11.874
Ca -6.602 1.071 -3.721
Ca 0.409 -1.300 -3.673
Ba -9.853 0.964 -5.562
Ac -4.289 3.933 -2.375
Ac -3.260 0.357 -1.840
Ba -1.155 -0.439 -6.957
Ca -10.488 4.634 -5.873
Ca -0.521 -4.110 -6.647
```

Summary:
The value obtained for the formation energy is 182 meV/atom. The calculated density is 3.569 g/cm3. The value obtained for the total magnetic moment is 0.0 μB/cell.

=====

6.
First-principles (PBE) data for crystalline KRbNa3 at its relaxed geometry, as listed in the Alexandria database.

```
5
Lattice="-3.588 -2.020 -5.523 -2.772 -5.125 3.675 -5.187 4.136 1.857" Properties=species:S:1:pos:R:3 pbc="T T T"
Rb -5.773 -1.504 0.005
Na -2.593 2.068 0.928
Na -1.794 -1.010 -2.762
Na -1.386 -2.563 1.838
K 0.000 0.000 0.000
```

Summary:
The value obtained for the formation energy is 229 meV/atom. Its energy above the most stable polymorph in this dataset is 199 meV/atom. The calculated density is 0.983 g/cm3. The value obtained for the total magnetic moment is 0.0 μB/cell.

=====

7.
First-principles (PBE) data for crystalline BPOsRh2 at its relaxed geometry, as listed in the Alexandria database.

```
5
Lattice="4.062 0.000 0.000 0.000 4.062 0.000 0.000 0.000 4.129" Properties=species:S:1:pos:R:3 pbc="T T T"
B 0.000 0.000 0.000
P 2.031 2.031 2.064
Os 0.000 0.000 2.064
Rh 2.031 0.000 0.000
Rh 0.000 2.031 0.000
```

Summary:
The value obtained for the formation energy is 370 meV/atom. Its energy above the most stable polymorph in this dataset is 0 meV/atom. The calculated density is 10.671 g/cm3. The value obtained for the total magnetic moment is 0.0 μB/cell.

=====

8.
First-principles (PBE) data for crystalline NaSbS at its relaxed geometry, as listed in the Alexandria database.

```
6
Lattice="-2.671 -2.799 -1.826 -1.275 -1.234 3.757 -5.198 7.606 0.734" Properties=species:S:1:pos:R:3 pbc="T T T"
S -2.257 1.835 0.935
S -6.860 1.765 1.647
Na -4.568 0.030 1.866
Sb -1.302 -0.411 0.619
Na -4.555 3.564 0.734
Sb -7.869 3.958 2.122
```

Summary:
As for the formation energy (no corrections): -0.588 eV/atom. The calculated density is 3.665 g/cm3. The value obtained for the total magnetic moment is 0.0 μB/cell.

=====

9.
First-principles (PBE) data for crystalline NaTe2SeN at its relaxed geometry, as listed in the Alexandria database.

```
5
Lattice="6.173 0.000 0.000 0.000 6.173 0.000 0.000 0.000 3.564" Properties=species:S:1:pos:R:3 pbc="T T T"
Se 0.000 0.000 0.000
Te 3.086 0.000 0.000
N 0.000 0.000 1.782
Te 0.000 3.086 0.000
Na 3.086 3.086 1.782
```

Summary:
Its energy above the most stable polymorph in this dataset is 0 meV/atom. As for the formation energy (no corrections): 0.521 eV/atom. The calculated density is 4.538 g/cm3. The value obtained for the total magnetic moment is 0.0 μB/cell.

=====

10.
First-principles (PBE) data for crystalline CuBr at its relaxed geometry, as listed in the Alexandria database.

```
8
Lattice="2.016 -3.491 0.000 2.016 3.491 0.000 0.000 0.000 13.991" Properties=species:S:1:pos:R:3 pbc="T T T"
Br 2.016 -1.164 8.811
Cu 2.016 -1.164 3.498
Cu 0.000 0.000 10.493
Cu 2.016 1.164 10.493
Br 2.016 1.164 5.180
Br 2.016 -1.164 12.176
Cu 0.000 0.000 3.498
Br 2.016 1.164 1.815
```

Summary:
As for the formation energy (no corrections): 0.058 eV/atom. The calculated density is 4.839 g/cm3. The value obtained for the total magnetic moment is 0.0 μB/cell.

=====

11.
First-principles (PBE) data for crystalline Y2CrCl at its relaxed geometry, as listed in the Alexandria database.

```
4
Lattice="3.705 -0.042 0.017 1.884 3.191 0.017 1.833 1.033 8.263" Properties=species:S:1:pos:R:3 pbc="T T T"
Cr 1.855 1.045 2.074
Y 3.711 2.091 4.079
Cl 5.566 3.136 6.223
Y 5.588 3.149 0.105
```

Summary:
Its energy above the most stable polymorph in this dataset is 107 meV/atom. As for the formation energy (no corrections): -0.361 eV/atom. The calculated density is 4.486 g/cm3. The value obtained for the total magnetic moment is 3.3 μB/cell.

=====

12.
First-principles (PBE) data for crystalline CeErIr2 at its relaxed geometry, as listed in the Alexandria database.

```
4
Lattice="-1.022 3.465 -1.291 -1.079 -1.693 -3.688 -4.437 -2.518 2.454" Properties=species:S:1:pos:R:3 pbc="T T T"
Ir -4.658 -2.476 0.109
Er -5.111 0.026 1.483
Ir -3.360 2.116 0.012
Ce -2.837 -0.377 -1.387
```

Summary:
The value obtained for the formation energy is -829 meV/atom. The calculated density is 13.386 g/cm3. The value obtained for the total magnetic moment is 0.0 μB/cell.

=====

What did the second record say?
First-principles (PBE) data for crystalline ThInHgPb at its relaxed geometry, as listed in the Alexandria database.

```
4
Lattice="4.684 0.000 0.000 0.000 4.728 0.000 0.000 0.000 4.906" Properties=species:S:1:pos:R:3 pbc="T T T"
Th 2.342 2.364 0.000
Pb 0.000 0.000 0.000
In 0.000 2.364 2.453
Hg 2.342 0.000 2.453
```

Summary:
The value obtained for the formation energy is -290 meV/atom. Its energy above the most stable polymorph in this dataset is 0 meV/atom. The calculated density is 11.536 g/cm3. The value obtained for the total magnetic moment is 0.0 μB/cell.